Record 1
Here is ScCd2As at its PBEsol-relaxed geometry from Alexandria. Energies are from SCAN.

Cell: 3.1914 3.1914 9.7233 Å, 80.55 80.55 60.00°
With the nearest neighbours (Å) after each atom.
Atoms (fractional coordinates):
Cd 0.2481 0.2481 0.2557  3 As 2.97, 3 Sc 3.06, 6 Cd 3.19
Cd 0.7519 0.7519 0.7443  3 As 2.97, 3 Sc 3.06, 6 Cd 3.19
As 0.5000 0.5000 0.5000  6 Cd 2.97, 6 As 3.19
Sc 0.0000 0.0000 0.0000  6 Cd 3.06, 6 Sc 3.19

Summary:
M_tot (μB per atom): 0.221

***

Record 2
Here is NaCaC3 at its PBEsol-relaxed geometry from Alexandria. Energies are from SCAN.

Cell: 4.5269 4.5269 4.5269 Å, 90.00 90.00 90.00°
With the nearest neighbours (Å) after each atom.
Atoms (fractional coordinates):
C 0.0000 0.5000 0.0000  2 Ca 2.26
C 0.5000 0.0000 0.0000  2 Ca 2.26
C 0.0000 0.0000 0.5000  2 Ca 2.26
Na 0.5000 0.5000 0.5000  12 C 3.20
Ca 0.0000 0.0000 0.0000  6 C 2.26

Summary:
M_tot (μB per atom): 1.347

***

ΔH_f (0 K), record by record: 0.006, 2.994 eV per atom